Record 1
Here is an optimized crystal structure of CdOs2S from Alexandria. Energies are from PBE. Values from VASP.

Output
As for the energy relative to the elements, uncorrected: 706 meV/atom. The raw total energy is -49.352 eV/cell. Its magnetization is 0.0 μB per formula unit. The offset from the most stable computed form is 0 meV per atom.

The structure in Quantum ESPRESSO input format:
```
&SYSTEM
  ibrav = 0, nat = 8, ntyp = 3
/
ATOMIC_SPECIES
S 32.06 S.upf
Os 190.23 Os.upf
Cd 112.41 Cd.upf
CELL_PARAMETERS angstrom
-0.440 4.401 -5.405
-6.842 0.761 1.177
-3.119 4.685 -0.443
ATOMIC_POSITIONS crystal
S 0.500 0.500 0.000
S 0.250 0.750 0.500
Os 0.544 0.125 0.250
Os 0.206 0.625 0.250
Os 0.375 0.456 0.750
Os 0.875 0.794 0.750
Cd 0.000 0.000 0.000
Cd 0.750 0.250 0.500
```

Record 2
Here is an optimized crystal structure of CdTcOsS2 from Alexandria. Energies are from PBE. Values from VASP.

Output
As for the energy relative to the elements, uncorrected: 1139 meV/atom. The raw total energy is -25.073 eV/cell. Its magnetization is 3.9 μB per formula unit.

The structure in Quantum ESPRESSO input format:
```
&SYSTEM
  ibrav = 0, nat = 5, ntyp = 4
/
ATOMIC_SPECIES
S 32.06 S.upf
Os 190.23 Os.upf
Tc 98.00 Tc.upf
Cd 112.41 Cd.upf
CELL_PARAMETERS angstrom
4.487 0.000 0.000
0.000 5.447 0.000
0.000 0.000 4.487
ATOMIC_POSITIONS crystal
S 0.000 0.000 0.500
S 0.500 0.000 0.000
Os 0.000 0.000 0.000
Tc 0.500 0.500 0.500
Cd 0.000 0.500 0.000
```

Record 3
Here is an optimized crystal structure of CdTc2OsS from Alexandria. Energies are from PBE. Values from VASP.

Output
As for the energy relative to the elements, uncorrected: 595 meV/atom. The raw total energy is -34.027 eV/cell. Its magnetization is 1.6 μB per formula unit.

The structure in Quantum ESPRESSO input format:
```
&SYSTEM
  ibrav = 0, nat = 5, ntyp = 4
/
ATOMIC_SPECIES
S 32.06 S.upf
Os 190.23 Os.upf
Tc 98.00 Tc.upf
Cd 112.41 Cd.upf
CELL_PARAMETERS angstrom
-3.320 -2.734 0.897
2.141 -3.254 -1.990
1.911 -1.072 3.808
ATOMIC_POSITIONS crystal
S 0.000 0.000 0.000
Os 0.000 0.500 0.000
Tc 0.000 0.000 0.500
Tc 0.500 0.000 0.000
Cd 0.500 0.500 0.500
```

Record 4
Here is an optimized crystal structure of CdTeOs2S from Alexandria. Energies are from PBE. Values from VASP.

Output
As for the energy relative to the elements, uncorrected: 1179 meV/atom. The raw total energy is -24.750 eV/cell. Its magnetization is 2.0 μB per formula unit.

The structure in Quantum ESPRESSO input format:
```
&SYSTEM
  ibrav = 0, nat = 5, ntyp = 4
/
ATOMIC_SPECIES
S 32.06 S.upf
Te 127.60 Te.upf
Os 190.23 Os.upf
Cd 112.41 Cd.upf
CELL_PARAMETERS angstrom
-3.363 2.646 0.635
0.085 -1.305 5.889
2.720 3.292 0.690
ATOMIC_POSITIONS crystal
S 0.000 0.000 0.000
Te 0.000 0.500 0.000
Os 0.000 0.000 0.500
Os 0.500 0.000 0.000
Cd 0.500 0.500 0.500
```

The lowest magnetization belongs to which entry?
CdOs2S

Repeat the third record exactly.
Here is an optimized crystal structure of CdTc2OsS from Alexandria. Energies are from PBE. Values from VASP.

Output
As for the energy relative to the elements, uncorrected: 595 meV/atom. The raw total energy is -34.027 eV/cell. Its magnetization is 1.6 μB per formula unit.

The structure in Quantum ESPRESSO input format:
```
&SYSTEM
  ibrav = 0, nat = 5, ntyp = 4
/
ATOMIC_SPECIES
S 32.06 S.upf
Os 190.23 Os.upf
Tc 98.00 Tc.upf
Cd 112.41 Cd.upf
CELL_PARAMETERS angstrom
-3.320 -2.734 0.897
2.141 -3.254 -1.990
1.911 -1.072 3.808
ATOMIC_POSITIONS crystal
S 0.000 0.000 0.000
Os 0.000 0.500 0.000
Tc 0.000 0.000 0.500
Tc 0.500 0.000 0.000
Cd 0.500 0.500 0.500
```

Which of these has the lowest raw total energy?
CdOs2S